1.
## Pr5Ho6Sc (GGA-PBE)

Data for Pr5Ho6Sc after structural relaxation.

Calculated values
The total energy is -4.775 eV/atom.

```
data_Pr5Ho6Sc
_space_group_name_H-M_alt 'P 1'
_space_group_IT_number 1
_cell_length_a 5.077
_cell_length_b 9.493
_cell_length_c 9.493
_cell_angle_alpha 107.06
_cell_angle_beta 105.51
_cell_angle_gamma 105.51
loop_
_space_group_symop_operation_xyz
'x,y,z'
loop_
_atom_site_label
_atom_site_type_symbol
_atom_site_fract_x
_atom_site_fract_y
_atom_site_fract_z
_atom_site_occupancy
Ho1 Ho 0.255 0.755 0.755 1
Ho2 Ho 0.753 0.588 0.918 1
Sc1 Sc 0.000 0.000 0.000 1
Pr1 Pr 0.500 0.837 0.163 1
Pr2 Pr 0.500 0.500 0.500 1
Ho3 Ho 0.753 0.918 0.588 1
Ho4 Ho 0.745 0.245 0.245 1
Pr3 Pr 0.000 0.666 0.334 1
Ho5 Ho 0.247 0.412 0.082 1
Pr4 Pr 0.500 0.163 0.837 1
Pr5 Pr 0.000 0.334 0.666 1
Ho6 Ho 0.247 0.082 0.412 1
```

2.
## PrHo4Sc2 (GGA-PBE)

Data for PrHo4Sc2 after structural relaxation.

Calculated values
Its energy relative to the lowest polymorph listed for this composition is 0.093 eV per atom.

```
data_PrHo4Sc2
_space_group_name_H-M_alt 'P 1'
_space_group_IT_number 1
_cell_length_a 5.588
_cell_length_b 6.650
_cell_length_c 11.621
_cell_angle_alpha 90.00
_cell_angle_beta 104.58
_cell_angle_gamma 90.00
loop_
_space_group_symop_operation_xyz
'x,y,z'
loop_
_atom_site_label
_atom_site_type_symbol
_atom_site_fract_x
_atom_site_fract_y
_atom_site_fract_z
_atom_site_occupancy
Sc1 Sc 0.236 0.250 0.436 1
Ho1 Ho 0.960 0.750 0.840 1
Ho2 Ho 0.643 0.497 0.296 1
Ho3 Ho 0.040 0.250 0.160 1
Ho4 Ho 0.807 0.250 0.573 1
Sc2 Sc 0.565 0.750 0.002 1
Pr1 Pr 0.862 0.250 0.866 1
Pr2 Pr 0.138 0.750 0.134 1
Ho5 Ho 0.357 0.503 0.704 1
Sc3 Sc 0.435 0.250 0.998 1
Ho6 Ho 0.357 0.997 0.704 1
Ho7 Ho 0.193 0.750 0.427 1
Ho8 Ho 0.643 0.003 0.296 1
Sc4 Sc 0.764 0.750 0.564 1
```

3.
## Pr4Ho4Sc (GGA-PBE)

Data for Pr4Ho4Sc after structural relaxation.

Calculated values
Its energy relative to the lowest polymorph listed for this composition is 0.000 eV per atom.

```
data_Pr4Ho4Sc
_space_group_name_H-M_alt 'P 1'
_space_group_IT_number 1
_cell_length_a 5.078
_cell_length_b 8.015
_cell_length_c 8.015
_cell_angle_alpha 84.24
_cell_angle_beta 71.53
_cell_angle_gamma 71.53
loop_
_space_group_symop_operation_xyz
'x,y,z'
loop_
_atom_site_label
_atom_site_type_symbol
_atom_site_fract_x
_atom_site_fract_y
_atom_site_fract_z
_atom_site_occupancy
Pr1 Pr 0.000 0.328 0.672 1
Ho1 Ho 0.337 0.000 0.327 1
Pr2 Pr 0.328 0.672 0.672 1
Ho2 Ho 0.337 0.327 0.000 1
Ho3 Ho 0.663 0.673 0.000 1
Sc1 Sc 0.000 0.000 0.000 1
Ho4 Ho 0.663 0.000 0.673 1
Pr3 Pr 0.000 0.672 0.328 1
Pr4 Pr 0.672 0.328 0.328 1
```

4.
## PrHoSc4 (GGA-PBE)

Data for PrHoSc4 after structural relaxation.

Calculated values
Its energy relative to the lowest polymorph listed for this composition is 0.029 eV per atom.

```
data_PrHoSc4
_space_group_name_H-M_alt 'P 1'
_space_group_IT_number 1
_cell_length_a 8.475
_cell_length_b 5.355
_cell_length_c 9.854
_cell_angle_alpha 90.01
_cell_angle_beta 104.98
_cell_angle_gamma 129.15
loop_
_space_group_symop_operation_xyz
'x,y,z'
loop_
_atom_site_label
_atom_site_type_symbol
_atom_site_fract_x
_atom_site_fract_y
_atom_site_fract_z
_atom_site_occupancy
Sc1 Sc 0.797 0.047 0.584 1
Sc2 Sc 0.286 0.537 0.584 1
Sc3 Sc 0.040 0.790 0.083 1
Pr1 Pr 0.377 0.627 0.254 1
Ho1 Ho 0.873 0.123 0.246 1
Ho2 Ho 0.127 0.877 0.754 1
Sc4 Sc 0.203 0.953 0.416 1
Sc5 Sc 0.457 0.707 0.917 1
Sc6 Sc 0.543 0.293 0.083 1
Pr2 Pr 0.623 0.373 0.746 1
Sc7 Sc 0.714 0.463 0.416 1
Sc8 Sc 0.960 0.210 0.917 1
```

5.
## Pr3Ho5Sc (GGA-PBE)

Data for Pr3Ho5Sc after structural relaxation.

Calculated values
The total energy is -4.570 eV/atom.

```
data_Pr3Ho5Sc
_space_group_name_H-M_alt 'P 1'
_space_group_IT_number 1
_cell_length_a 8.673
_cell_length_b 8.673
_cell_length_c 9.866
_cell_angle_alpha 116.07
_cell_angle_beta 116.07
_cell_angle_gamma 90.00
loop_
_space_group_symop_operation_xyz
'x,y,z'
loop_
_atom_site_label
_atom_site_type_symbol
_atom_site_fract_x
_atom_site_fract_y
_atom_site_fract_z
_atom_site_occupancy
Pr1 Pr 0.881 0.619 0.000 1
Ho1 Ho 0.434 0.347 0.281 1
Ho2 Ho 0.066 0.566 0.719 1
Ho3 Ho 0.153 0.066 0.719 1
Ho4 Ho 0.347 0.847 0.281 1
Pr2 Pr 0.750 0.750 0.500 1
Sc1 Sc 0.750 0.250 0.500 1
Ho5 Ho 0.934 0.434 0.281 1
Ho6 Ho 0.566 0.653 0.719 1
Ho7 Ho 0.847 0.934 0.281 1
Pr3 Pr 0.381 0.881 0.000 1
Ho8 Ho 0.000 0.000 0.000 1
Pr4 Pr 0.119 0.381 0.000 1
Pr5 Pr 0.619 0.119 0.000 1
Sc2 Sc 0.250 0.750 0.500 1
Pr6 Pr 0.250 0.250 0.500 1
Ho9 Ho 0.653 0.153 0.719 1
Ho10 Ho 0.500 0.500 0.000 1
```

6.
## Pr7Ho12Sc (GGA-PBE)

Data for Pr7Ho12Sc after structural relaxation.

Calculated values
Its energy relative to the lowest polymorph listed for this composition is 0.000 eV per atom.

```
data_Pr7Ho12Sc
_space_group_name_H-M_alt 'P 1'
_space_group_IT_number 1
_cell_length_a 8.777
_cell_length_b 8.777
_cell_length_c 8.777
_cell_angle_alpha 85.77
_cell_angle_beta 85.77
_cell_angle_gamma 85.77
loop_
_space_group_symop_operation_xyz
'x,y,z'
loop_
_atom_site_label
_atom_site_type_symbol
_atom_site_fract_x
_atom_site_fract_y
_atom_site_fract_z
_atom_site_occupancy
Ho1 Ho 0.857 0.243 0.734 1
Ho2 Ho 0.862 0.501 0.387 1
Ho3 Ho 0.387 0.862 0.501 1
Pr1 Pr 0.914 0.846 0.601 1
Sc1 Sc 0.000 0.000 0.000 1
Pr2 Pr 0.154 0.399 0.086 1
Ho4 Ho 0.266 0.143 0.757 1
Ho5 Ho 0.613 0.138 0.499 1
Ho6 Ho 0.757 0.266 0.143 1
Pr3 Pr 0.846 0.601 0.914 1
Ho7 Ho 0.499 0.613 0.138 1
Pr4 Pr 0.399 0.086 0.154 1
Ho8 Ho 0.138 0.499 0.613 1
Ho9 Ho 0.243 0.734 0.857 1
Pr5 Pr 0.500 0.500 0.500 1
Ho10 Ho 0.143 0.757 0.266 1
Ho11 Ho 0.734 0.857 0.243 1
Pr6 Pr 0.086 0.154 0.399 1
Ho12 Ho 0.501 0.387 0.862 1
Pr7 Pr 0.601 0.914 0.846 1
```

Copy entry 3 word for word.
## Pr4Ho4Sc (GGA-PBE)

Data for Pr4Ho4Sc after structural relaxation.

Calculated values
Its energy relative to the lowest polymorph listed for this composition is 0.000 eV per atom.

```
data_Pr4Ho4Sc
_space_group_name_H-M_alt 'P 1'
_space_group_IT_number 1
_cell_length_a 5.078
_cell_length_b 8.015
_cell_length_c 8.015
_cell_angle_alpha 84.24
_cell_angle_beta 71.53
_cell_angle_gamma 71.53
loop_
_space_group_symop_operation_xyz
'x,y,z'
loop_
_atom_site_label
_atom_site_type_symbol
_atom_site_fract_x
_atom_site_fract_y
_atom_site_fract_z
_atom_site_occupancy
Pr1 Pr 0.000 0.328 0.672 1
Ho1 Ho 0.337 0.000 0.327 1
Pr2 Pr 0.328 0.672 0.672 1
Ho2 Ho 0.337 0.327 0.000 1
Ho3 Ho 0.663 0.673 0.000 1
Sc1 Sc 0.000 0.000 0.000 1
Ho4 Ho 0.663 0.000 0.673 1
Pr3 Pr 0.000 0.672 0.328 1
Pr4 Pr 0.672 0.328 0.328 1
```